19
Lattice="8.6978 0.4958 0.5939 -0.8286 8.6724 0.5939 -0.8286 -0.9654 8.6389" Properties=species:S:1:pos:R:3 comment="PBE-GGA Pr6Sm12Tm, relaxed" total_energy_ev_per_fu=-86.814 space_group="R-3, No. 148" formation_enthalpy_0k_ev_per_atom=0.156 volume_a3_per_atom=34.98 dos_at_fermi_per_ev_fu=34.57 polymorph_energy_mev_per_atom=0 pbc="T T T"
Pr 5.3547 7.6706 3.1862
Pr 6.1086 2.6426 1.7103
Pr 0.2705 6.2215 2.9057
Pr 1.6859 0.5322 6.6406
Pr 0.9320 5.5602 8.1165
Pr 6.7701 1.9813 6.9211
Sm 6.0568 4.5347 4.8106
Sm 2.9593 6.5815 5.3213
Sm 3.5640 3.5405 7.4265
Sm 0.9838 3.6681 5.0162
Sm 4.0813 1.6213 4.5054
Sm 3.4766 4.6623 2.4003
Sm 0.1069 0.8831 3.3675
Sm 6.1839 4.9323 8.9893
Sm 3.9378 7.6188 8.3561
Sm 6.9337 7.3197 6.4593
Sm 0.8567 3.2705 0.8374
Sm 3.1028 0.5840 1.4706
Tm 0.0000 0.0000 0.0000